1.
# Ho2ReB10 (PBE-GGA, optimized geometry)
data_Ho2ReB10
_chemical_formula_sum 'Ho4 Re2 B20'
_space_group_name_H-M_alt 'P b a m'
_space_group_IT_number 55
_space_group_name_Hall '-P 2 2ab'
_cell_length_a 5.752
_cell_length_b 11.412
_cell_length_c 4.166
_cell_angle_alpha 90.00
_cell_angle_beta 90.00
_cell_angle_gamma 90.00
loop_
_atom_site_label
_atom_site_type_symbol
_atom_site_fract_x
_atom_site_fract_y
_atom_site_fract_z
Ho1 Ho 0.226 0.133 0.000
Re1 Re 0.000 0.500 0.500
B1 B 0.063 0.307 0.500
B2 B 0.120 0.960 0.500
B3 B 0.127 0.803 0.500
B4 B 0.228 0.380 0.200
# calculated density	7.58	g cm⁻³
# total moment	0.00	μB/cell
# ΔE_f	-0.371	eV per atom
# E_tot	-7.170	eV per atom


2.
# Ho2ReB6 (PBE-GGA, optimized geometry)
data_Ho2ReB6
_chemical_formula_sum 'Ho4 Re2 B12'
_space_group_name_H-M_alt 'I m m m'
_space_group_IT_number 71
_space_group_name_Hall '-I 2 2'
_cell_length_a 3.429
_cell_length_b 5.386
_cell_length_c 11.736
_cell_angle_alpha 90.00
_cell_angle_beta 90.00
_cell_angle_gamma 90.00
loop_
_atom_site_label
_atom_site_type_symbol
_atom_site_fract_x
_atom_site_fract_y
_atom_site_fract_z
Ho1 Ho 0.000 0.000 0.162
Re1 Re 0.000 0.500 0.000
B1 B 0.000 0.150 0.380
B2 B 0.000 0.335 0.500
# calculated density	8.90	g cm⁻³
# total moment	1.06	μB/cell
# ΔE_f	-0.343	eV per atom
# E_tot	-7.195	eV per atom


3.
# HoRe4B2 (PBE-GGA, optimized geometry)
data_HoRe4B2
_chemical_formula_sum 'Ho2 Re8 B4'
_space_group_name_H-M_alt 'C m m m'
_space_group_IT_number 65
_space_group_name_Hall '-C 2 2'
_cell_length_a 3.955
_cell_length_b 13.579
_cell_length_c 3.910
_cell_angle_alpha 90.00
_cell_angle_beta 90.00
_cell_angle_gamma 90.00
loop_
_atom_site_label
_atom_site_type_symbol
_atom_site_fract_x
_atom_site_fract_y
_atom_site_fract_z
Ho1 Ho 0.000 0.000 0.000
Re1 Re 0.000 0.175 0.500
Re2 Re 0.000 0.312 0.000
B1 B 0.000 0.397 0.500
# calculated density	14.73	g cm⁻³
# total moment	0.00	μB/cell
# ΔE_f	-0.087	eV per atom
# E_tot	-9.762	eV per atom


4.
# HoRe2B6 (PBE-GGA, optimized geometry)
data_HoRe2B6
_chemical_formula_sum 'Ho2 Re4 B12'
_space_group_name_H-M_alt 'I m m m'
_space_group_IT_number 71
_space_group_name_Hall '-I 2 2'
_cell_length_a 3.110
_cell_length_b 6.799
_cell_length_c 8.630
_cell_angle_alpha 90.00
_cell_angle_beta 90.00
_cell_angle_gamma 90.00
loop_
_atom_site_label
_atom_site_type_symbol
_atom_site_fract_x
_atom_site_fract_y
_atom_site_fract_z
Ho1 Ho 0.000 0.000 0.000
Re1 Re 0.000 0.500 0.159
B1 B 0.000 0.164 0.500
B2 B 0.000 0.246 0.311
# calculated density	10.96	g cm⁻³
# total moment	0.00	μB/cell
# ΔE_f	-0.398	eV per atom
# E_tot	-8.125	eV per atom


5.
# HoB2Rh2 (PBE-GGA, optimized geometry)
data_HoB2Rh2
_chemical_formula_sum 'Ho2 B4 Rh4'
_space_group_name_H-M_alt 'I 4/m m m'
_space_group_IT_number 139
_space_group_name_Hall '-I 4 2'
_cell_length_a 3.822
_cell_length_b 3.822
_cell_length_c 9.223
_cell_angle_alpha 90.00
_cell_angle_beta 90.00
_cell_angle_gamma 90.00
loop_
_atom_site_label
_atom_site_type_symbol
_atom_site_fract_x
_atom_site_fract_y
_atom_site_fract_z
Ho1 Ho 0.000 0.000 0.000
B1 B 0.000 0.000 0.366
Rh1 Rh 0.000 0.500 0.250
# calculated density	9.67	g cm⁻³
# total moment	0.00	μB/cell
# ΔE_f	-0.671	eV per atom
# E_tot	-7.198	eV per atom


6.
# HoBRh (PBE-GGA, optimized geometry)
data_HoBRh
_chemical_formula_sum 'Ho1 B1 Rh1'
_space_group_name_H-M_alt 'P -6 m 2'
_space_group_IT_number 187
_space_group_name_Hall 'P -6 2'
_cell_length_a 3.7086
_cell_length_b 3.7086
_cell_length_c 4.0839
_cell_angle_alpha 90.00
_cell_angle_beta 90.00
_cell_angle_gamma 120.00
loop_
_atom_site_label
_atom_site_type_symbol
_atom_site_fract_x
_atom_site_fract_y
_atom_site_fract_z
Ho1 Ho 0.0000 0.0000 0.0000
B1 B 0.3333 0.6667 0.5000
Rh1 Rh 0.6667 0.3333 0.5000
# calculated density	9.51	g cm⁻³
# total moment	0.00	μB/cell
# ΔE_f	-0.591	eV per atom
# E_tot	-6.793	eV per atom